Compound: RuPt4
Source: Alexandria via LeMat-Bulk
Functional: GGA-PBE
Structure: optimized geometry

a = 3.942 Å, b = 4.826 Å, c = 4.826 Å
α = 80.39°, β = 114.11°, γ = 114.11°
Atoms (fractional coordinates):
Pt1 0.203 0.600 0.805
Pt2 0.797 0.400 0.195
Pt3 0.602 0.805 0.400
Pt4 0.398 0.195 0.600
Ru1 0.000 0.000 0.000

## Properties
Space-group type = I4/m, No. 87
Fermi-level density of states = 1.49 states/eV/atom
Total energy = -33.4 eV/f.u.
Polymorph energy (0 for the lowest one) = 0.00 eV per formula unit
Volume = 15.3 A^3/atom


Compound: Pr3YSn3
Source: Alexandria via LeMat-Bulk
Functional: GGA-PBE
Structure: optimized geometry

a = 8.070 Å, b = 8.070 Å, c = 7.940 Å
α = 89.58°, β = 89.58°, γ = 113.02°
Atoms (fractional coordinates):
Pr1 0.631 0.631 0.361
Pr2 0.224 0.776 0.000
Pr3 0.369 0.369 0.639
Pr4 0.151 0.849 0.500
Pr5 0.776 0.224 0.000
Pr6 0.849 0.151 0.500
Sn1 0.506 0.156 0.318
Sn2 0.946 0.946 0.186
Sn3 0.156 0.506 0.318
Sn4 0.494 0.844 0.682
Sn5 0.054 0.054 0.814
Sn6 0.844 0.494 0.682
Y1 0.288 0.288 0.099
Y2 0.712 0.712 0.901

## Properties
Space-group type = C2/m, No. 12
Fermi-level density of states = 0.72 states/eV/atom
Total energy = -36.1 eV/f.u.
Volume = 34.0 A^3/atom


Compound: La2PSe
Source: Alexandria via LeMat-Bulk
Functional: GGA-PBE
Structure: optimized geometry

a = 5.133 Å, b = 5.133 Å, c = 5.133 Å
α = 60.00°, β = 60.00°, γ = 60.00°
Atoms (fractional coordinates):
Se1 0.250 0.250 0.250
P1 0.500 0.500 0.500
La1 0.000 0.000 0.000
La2 0.750 0.750 0.750

## Properties
Space-group type = F-43m, No. 216
Fermi-level density of states = 0.67 states/eV/atom
Total energy = -21.1 eV/f.u.
Polymorph energy (0 for the lowest one) = 5.11 eV per formula unit
Volume = 23.9 A^3/atom
Formation energy from raw total energies = -587.1 meV per atom


Compound: ReAgAs2Br
Source: Alexandria via LeMat-Bulk
Functional: GGA-PBE
Structure: optimized geometry

a = 5.124 Å, b = 5.124 Å, c = 4.875 Å
α = 90.00°, β = 90.00°, γ = 90.00°
Atoms (fractional coordinates):
As1 0.000 0.500 0.000
As2 0.500 0.000 0.000
Ag1 0.000 0.000 0.500
Br1 0.000 0.000 0.000
Re1 0.500 0.500 0.500

## Properties
Space-group type = P4/mmm, No. 123
Fermi-level density of states = 0.51 states/eV/atom
Total energy = -16.8 eV/f.u.
Polymorph energy (0 for the lowest one) = 6.65 eV per formula unit
Volume = 25.6 A^3/atom
Formation energy from raw total energies = 1902.4 meV per atom


Compound: Dy14HoCd
Source: Alexandria via LeMat-Bulk
Functional: GGA-PBE
Structure: optimized geometry

a = 7.015 Å, b = 7.015 Å, c = 9.973 Å
α = 90.00°, β = 90.00°, γ = 90.01°
Atoms (fractional coordinates):
Dy1 0.875 0.625 0.500
Dy2 0.125 0.875 0.753
Dy3 0.875 0.125 0.500
Dy4 0.625 0.875 0.248
Dy5 0.376 0.125 0.000
Dy6 0.375 0.125 0.500
Dy7 0.625 0.375 0.752
Dy8 0.625 0.875 0.752
Dy9 0.125 0.375 0.752
Dy10 0.125 0.375 0.248
Dy11 0.875 0.624 0.000
Dy12 0.375 0.625 0.500
Dy13 0.625 0.375 0.248
Dy14 0.125 0.875 0.247
Cd1 0.875 0.125 0.000
Ho1 0.375 0.625 0.000

## Properties
Space-group type = P4/mmm, No. 123
Fermi-level density of states = 1.28 states/eV/atom
Total energy = -69.9 eV/f.u.
Volume = 30.7 A^3/atom


Compound: Pr3Nd4Pu
Source: Alexandria via LeMat-Bulk
Functional: GGA-PBE
Structure: optimized geometry

a = 3.544 Å, b = 11.888 Å, c = 9.063 Å
α = 130.95°, β = 101.28°, γ = 90.00°
Atoms (fractional coordinates):
Nd1 0.369 0.117 0.738
Nd2 0.631 0.883 0.262
Nd3 0.631 0.379 0.262
Nd4 0.369 0.621 0.738
Pu1 0.500 0.000 0.000
Pr1 0.000 0.500 0.000
Pr2 0.232 0.232 0.463
Pr3 0.768 0.768 0.537

## Properties
Space-group type = Immm, No. 71
Fermi-level density of states = 2.07 states/eV/atom
Total energy = -46.6 eV/f.u.
Volume = 34.8 A^3/atom


- Which formula does entry 3 have?
  La2PSe